! LiPm2Cd6 PBE-GGA optimized geometry; values from VASP
! SG: P-3m1
! Crystal system: trigonal
! V, Å³ per cell: 215.6
! Total energy, eV per atom: -2.126
! M_tot, μB/f.u.: 0.00
&SYSTEM
  ibrav = 0, nat = 9, ntyp = 3
/
ATOMIC_SPECIES
Li 6.94 Li.upf
Pm 145.00 Pm.upf
Cd 112.41 Cd.upf
CELL_PARAMETERS angstrom
6.651 0.000 0.000
-3.325 5.760 0.000
0.000 0.000 5.629
ATOMIC_POSITIONS angstrom
Li 0.000 0.000 0.000
Pm 0.000 3.840 1.093
Pm 3.325 1.920 4.536
Cd 0.000 2.044 3.934
Cd -1.555 4.738 3.934
Cd 1.770 1.022 1.695
Cd 1.555 4.738 3.934
Cd 4.881 1.022 1.695
Cd 3.325 3.716 1.695

! LiPm3Cd3 PBE-GGA optimized geometry; values from VASP
! SG: Imm2
! Crystal system: orthorhombic
! V, Å³ per cell: 185.5
! Total energy, eV per atom: -2.928
! M_tot, μB/f.u.: 0.00
&SYSTEM
  ibrav = 0, nat = 7, ntyp = 3
/
ATOMIC_SPECIES
Li 6.94 Li.upf
Pm 145.00 Pm.upf
Cd 112.41 Cd.upf
CELL_PARAMETERS angstrom
-1.727 2.521 10.653
1.727 -2.521 10.653
1.727 2.521 -10.653
ATOMIC_POSITIONS angstrom
Li 0.000 0.000 0.000
Pm 1.727 0.000 2.787
Pm 0.000 0.000 9.188
Pm 0.000 2.521 4.971
Cd 1.727 0.000 6.192
Cd 0.000 2.521 1.482
Cd 0.000 0.000 18.520

! Li2Pm3Cd9 PBE-GGA optimized geometry; values from VASP
! SG: Immm
! Crystal system: orthorhombic
! V, Å³ per cell: 331.7
! Total energy, eV per atom: -2.145
! M_tot, μB/f.u.: 0.00
&SYSTEM
  ibrav = 0, nat = 14, ntyp = 3
/
ATOMIC_SPECIES
Li 6.94 Li.upf
Pm 145.00 Pm.upf
Cd 112.41 Cd.upf
CELL_PARAMETERS angstrom
-2.413 5.342 6.434
2.413 -5.342 6.434
2.413 5.342 -6.434
ATOMIC_POSITIONS angstrom
Li 0.000 1.806 0.000
Li 0.000 8.878 0.000
Pm 0.000 0.000 2.708
Pm 0.000 0.000 6.434
Pm 0.000 0.000 10.160
Cd 2.413 0.000 0.000
Cd 2.413 2.363 -1.759
Cd 2.413 -1.429 4.618
Cd 2.413 2.363 1.759
Cd 2.413 1.429 4.618
Cd 0.000 3.913 1.817
Cd 0.000 2.979 4.675
Cd 0.000 6.771 1.817
Cd 0.000 2.979 8.193

! LiPm2Cd16 PBE-GGA optimized geometry; values from VASP
! SG: R3m
! Crystal system: trigonal
! V, Å³ per cell: 435.6
! Total energy, eV per atom: -1.538
! M_tot, μB/f.u.: 0.00
&SYSTEM
  ibrav = 0, nat = 19, ntyp = 3
/
ATOMIC_SPECIES
Li 6.94 Li.upf
Pm 145.00 Pm.upf
Cd 112.41 Cd.upf
CELL_PARAMETERS angstrom
5.021 2.899 4.987
-5.021 2.899 4.987
0.000 -5.798 4.987
ATOMIC_POSITIONS angstrom
Li 0.000 0.000 0.000
Pm 0.000 0.000 3.735
Pm 0.000 0.000 8.688
Cd -2.582 -1.491 5.855
Cd -2.044 -2.886 8.686
Cd -3.522 -0.327 8.686
Cd 0.000 -2.584 6.452
Cd -2.237 1.292 6.452
Cd -2.798 -1.615 11.244
Cd 2.582 -1.491 5.855
Cd 0.000 2.982 5.855
Cd 2.044 -2.886 8.686
Cd -1.477 3.214 8.686
Cd 2.237 1.292 6.452
Cd 0.000 0.000 12.063
Cd 3.522 -0.327 8.686
Cd 1.477 3.214 8.686
Cd 2.798 -1.615 11.244
Cd 0.000 3.231 11.244

! LiPmCd3 PBE-GGA optimized geometry; values from VASP
! SG: P6_3/mmc
! Crystal system: hexagonal
! V, Å³ per cell: 229.2
! Total energy, eV per atom: -2.115
! M_tot, μB/f.u.: 0.00
&SYSTEM
  ibrav = 0, nat = 10, ntyp = 3
/
ATOMIC_SPECIES
Li 6.94 Li.upf
Pm 145.00 Pm.upf
Cd 112.41 Cd.upf
CELL_PARAMETERS angstrom
6.882 0.000 0.000
-3.441 5.960 0.000
0.000 0.000 5.588
ATOMIC_POSITIONS angstrom
Li 0.000 0.000 0.000
Li 0.000 0.000 2.794
Pm 0.000 3.973 1.397
Pm 3.441 1.987 4.191
Cd 0.000 2.237 4.191
Cd -1.504 4.842 4.191
Cd 1.937 1.119 1.397
Cd 1.504 4.842 4.191
Cd 4.945 1.119 1.397
Cd 3.441 3.723 1.397

! LiPmCd3 PBE-GGA optimized geometry; values from VASP
! SG: Pm-3m
! Crystal system: cubic
! V, Å³ per cell: 115.5
! Total energy, eV per atom: -2.010
! M_tot, μB/f.u.: 0.00
&SYSTEM
  ibrav = 0, nat = 5, ntyp = 3
/
ATOMIC_SPECIES
Li 6.94 Li.upf
Pm 145.00 Pm.upf
Cd 112.41 Cd.upf
CELL_PARAMETERS angstrom
4.871 0.000 0.000
0.000 4.871 0.000
0.000 0.000 4.871
ATOMIC_POSITIONS angstrom
Li 0.000 0.000 0.000
Pm 2.435 2.435 2.435
Cd 0.000 0.000 2.435
Cd 0.000 2.435 0.000
Cd 2.435 0.000 0.000

What is the V in the fourth record? 435.6 Å³ per cell